(1)
The following is a DFT calculation (PBE-GGA) of an optimized crystal structure of AcLa6Zn2.

Cell lengths 13.128, 3.886, 12.400 Å; angles 90.00, 108.88, 90.00 degrees
Space group C2/m (No. 12)
One atom of each set of equivalent atoms:
Ac (0.000, 0.000, 0.000) x2
La (0.027, 0.000, 0.329) x4
La (0.188, 0.500, 0.590) x4
La (0.189, 0.500, 0.873) x4
Zn (0.155, 0.500, 0.211) x4

## Properties
Calculated formation energy = -0.136 eV per atom
Magnetization = 0.000 Bohr magnetons per cell
V = 598.5 Å³/cell
ΔE to the lowest computed polymorph = 0.0 meV per atom
Theoretical density = 6610 kg/m³

***

(2)
The following is a DFT calculation (PBE-GGA) of an optimized crystal structure of Ba2CrSe.

Cell lengths 4.127, 4.127, 8.174 Å; angles 90.00, 90.00, 90.00 degrees
Space group P4/mmm (No. 123)
One atom of each set of equivalent atoms:
Ba (0.000, 0.000, 0.229) x2
Cr (0.500, 0.500, 0.500) x1
Se (0.500, 0.500, 0.000) x1

## Properties
Magnetization = 4.793 Bohr magnetons per cell
V = 139.2 Å³/cell
Theoretical density = 4838 kg/m³
E_tot = -18.7 eV per cell

***

(3)
The following is a DFT calculation (PBE-GGA) of an optimized crystal structure of Y2NiRhC.

Cell lengths 4.941, 4.941, 3.824 Å; angles 90.00, 90.00, 90.00 degrees
Space group P4/mmm (No. 123)
One atom of each set of equivalent atoms:
Y (0.000, 0.500, 0.000) x2
Ni (0.000, 0.000, 0.500) x1
Rh (0.500, 0.500, 0.500) x1
C (0.500, 0.500, 0.000) x1

## Properties
Calculated formation energy = -0.340 eV per atom
Magnetization = 0.000 Bohr magnetons per cell
V = 93.4 Å³/cell
ΔE to the lowest computed polymorph = 118.9 meV per atom
Theoretical density = 6250 kg/m³

***

(4)
The following is a DFT calculation (PBE-GGA) of an optimized crystal structure of Er2HfTe.

Cell lengths 3.773, 3.773, 7.365 Å; angles 90.00, 90.00, 90.00 degrees
Space group P4/mmm (No. 123)
One atom of each set of equivalent atoms:
Er (0.000, 0.000, 0.241) x2
Hf (0.500, 0.500, 0.500) x1
Te (0.500, 0.500, 0.000) x1

## Properties
Magnetization = 0.000 Bohr magnetons per cell
V = 104.9 Å³/cell
ΔE to the lowest computed polymorph = 0.0 meV per atom
Theoretical density = 10145 kg/m³